A plane-wave DFT calculation with GGA-PBE was carried out for TmBeSi after structural relaxation.

SG: F-43m
calculated total energy: -4.1034 eV per atom

abc: 6.339 6.339 6.339
angles: 90.00 90.00 90.00
Positions (direct):
Tm1 0.000 0.000 0.000
Tm2 0.000 0.500 0.500
Tm3 0.500 0.000 0.500
Tm4 0.500 0.500 0.000
Be1 0.250 0.250 0.750
Be2 0.250 0.750 0.250
Be3 0.750 0.250 0.250
Be4 0.750 0.750 0.750
Si1 0.250 0.250 0.250
Si2 0.250 0.750 0.750
Si3 0.750 0.250 0.750
Si4 0.750 0.750 0.250

=====

A plane-wave DFT calculation with GGA-PBE was carried out for GdMgZn after structural relaxation.

SG: P3m1
calculated total energy: -2.6939 eV per atom

abc: 5.005 5.005 9.327
angles: 90.00 90.00 120.00
Positions (direct):
Gd1 0.000 0.000 0.000
Gd2 0.333 0.667 0.187
Gd3 0.667 0.333 0.621
Mg1 0.000 0.000 0.388
Mg2 0.333 0.667 0.820
Mg3 0.667 0.333 0.276
Zn1 0.000 0.000 0.690
Zn2 0.333 0.667 0.506
Zn3 0.667 0.333 0.957

=====

A plane-wave DFT calculation with GGA-PBE was carried out for PrYGe4Os2 after structural relaxation.

SG: Pm
calculated total energy: -7.0069 eV per atom

abc: 4.511 4.435 8.394
angles: 90.00 104.04 90.00
Positions (direct):
Pr1 0.000 0.000 0.000
Y1 0.222 0.500 0.417
Ge1 0.284 0.000 0.707
Ge2 0.564 0.500 0.116
Ge3 0.650 0.000 0.295
Ge4 0.924 0.500 0.699
Os1 0.491 0.500 0.820
Os2 0.716 0.000 0.587